# 1
{
  "formula": "Tb5Pm5Tl",
  "functional": "PBE-GGA",
  "state": "optimized geometry",
  "total_energy_ev_per_cell": -45.629,
  "space_group": "No. 187",
  "cell": [[6.160, 0.000, 0.000], [-3.080, 5.335, 0.000], [0.000, 0.000, 11.353]],
  "species": ["Tb", "Tb", "Tb", "Tb", "Tb", "Pm", "Pm", "Pm", "Pm", "Pm", "Tl"],
  "frac_coords": [[0.000, 0.000, 0.000], [0.333, 0.667, 0.292], [0.333, 0.667, 0.708], [0.667, 0.333, 0.180], [0.667, 0.333, 0.820], [0.000, 0.000, 0.265], [0.000, 0.000, 0.735], [0.340, 0.170, 0.500], [0.830, 0.170, 0.500], [0.830, 0.660, 0.500], [0.333, 0.667, 0.000]]
}


# 2
{
  "formula": "Tb2Pm3Tl4",
  "functional": "PBE-GGA",
  "state": "optimized geometry",
  "de_polymorph_ev_per_fu": 1.020,
  "total_energy_ev_per_cell": -69.484,
  "space_group": "No. 64",
  "cell": [[3.674, -7.841, 0.000], [3.674, 7.841, 0.000], [0.000, 0.000, 9.826]],
  "species": ["Tb", "Tb", "Tb", "Tb", "Pm", "Pm", "Pm", "Pm", "Pm", "Pm", "Tl", "Tl", "Tl", "Tl", "Tl", "Tl", "Tl", "Tl"],
  "frac_coords": [[0.106, 0.894, 0.946], [0.394, 0.606, 0.446], [0.606, 0.394, 0.554], [0.894, 0.106, 0.054], [0.000, 0.000, 0.500], [0.034, 0.466, 0.750], [0.466, 0.034, 0.250], [0.500, 0.500, 0.000], [0.534, 0.966, 0.750], [0.966, 0.534, 0.250], [0.196, 0.804, 0.525], [0.240, 0.260, 0.750], [0.260, 0.240, 0.250], [0.304, 0.696, 0.025], [0.696, 0.304, 0.975], [0.740, 0.760, 0.750], [0.760, 0.740, 0.250], [0.804, 0.196, 0.475]]
}


# 3
{
  "formula": "TbPm9Tl2",
  "functional": "PBE-GGA",
  "state": "optimized geometry",
  "total_energy_ev_per_cell": -53.607,
  "space_group": "No. 123",
  "cell": [[4.979, 0.000, 0.000], [0.000, 4.979, 0.000], [0.000, 0.000, 15.328]],
  "species": ["Tb", "Pm", "Pm", "Pm", "Pm", "Pm", "Pm", "Pm", "Pm", "Pm", "Tl", "Tl"],
  "frac_coords": [[0.000, 0.000, 0.000], [0.000, 0.500, 0.172], [0.000, 0.500, 0.500], [0.000, 0.500, 0.828], [0.500, 0.000, 0.172], [0.500, 0.000, 0.500], [0.500, 0.000, 0.828], [0.500, 0.500, 0.000], [0.500, 0.500, 0.337], [0.500, 0.500, 0.663], [0.000, 0.000, 0.339], [0.000, 0.000, 0.661]]
}


# 4
{
  "formula": "Tb5PmTl8",
  "functional": "PBE-GGA",
  "state": "optimized geometry",
  "total_energy_ev_per_cell": -50.434,
  "space_group": "No. 82",
  "cell": [[-4.645, 4.645, 4.702], [4.645, -4.645, 4.702], [4.645, 4.645, -4.702]],
  "species": ["Tb", "Tb", "Tb", "Tb", "Tb", "Pm", "Tl", "Tl", "Tl", "Tl", "Tl", "Tl", "Tl", "Tl"],
  "frac_coords": [[0.000, 0.000, 0.000], [0.129, 0.507, 0.880], [0.493, 0.373, 0.622], [0.627, 0.249, 0.120], [0.751, 0.871, 0.378], [0.250, 0.750, 0.500], [0.034, 0.284, 0.416], [0.210, 0.130, 0.754], [0.376, 0.457, 0.246], [0.382, 0.966, 0.250], [0.543, 0.790, 0.919], [0.716, 0.132, 0.750], [0.868, 0.618, 0.584], [0.870, 0.624, 0.081]]
}


Copy entry 2 word for word.
{
  "formula": "Tb2Pm3Tl4",
  "functional": "PBE-GGA",
  "state": "optimized geometry",
  "de_polymorph_ev_per_fu": 1.020,
  "total_energy_ev_per_cell": -69.484,
  "space_group": "No. 64",
  "cell": [[3.674, -7.841, 0.000], [3.674, 7.841, 0.000], [0.000, 0.000, 9.826]],
  "species": ["Tb", "Tb", "Tb", "Tb", "Pm", "Pm", "Pm", "Pm", "Pm", "Pm", "Tl", "Tl", "Tl", "Tl", "Tl", "Tl", "Tl", "Tl"],
  "frac_coords": [[0.106, 0.894, 0.946], [0.394, 0.606, 0.446], [0.606, 0.394, 0.554], [0.894, 0.106, 0.054], [0.000, 0.000, 0.500], [0.034, 0.466, 0.750], [0.466, 0.034, 0.250], [0.500, 0.500, 0.000], [0.534, 0.966, 0.750], [0.966, 0.534, 0.250], [0.196, 0.804, 0.525], [0.240, 0.260, 0.750], [0.260, 0.240, 0.250], [0.304, 0.696, 0.025], [0.696, 0.304, 0.975], [0.740, 0.760, 0.750], [0.760, 0.740, 0.250], [0.804, 0.196, 0.475]]
}